MgRuPt2 (PBE, relaxed); VASP energy = -6.067 eV per atom; density of states at the Fermi level = 1.184 states/eV/atom; energy of formation = -0.3291 eV per atom; V = 15.3 Å³/atom
1.0
2.794 0.000 0.000
0.000 2.794 0.000
0.000 0.000 7.855
Ru Mg Pt
1 1 2
direct
0.500 0.500 0.250 Ru
0.500 0.500 0.750 Mg
0.000 0.000 0.493 Pt
0.000 0.000 0.007 Pt